Compound: La3TmMg
Source: the Alexandria database
Functional: GGA-PBE
Structure: optimized geometry

It has space group C2/m (No. 12), with a = 23.120 Å, b = 3.535 Å, c = 8.653 Å, α = 90.00°, β = 107.16° and γ = 90.00°. The asymmetric unit holds La at (0.025, 0.000, 0.214), La at (0.124, 0.500, 0.013), La at (0.173, 0.000, 0.450), Tm at (0.238, 0.500, 0.823) and Mg at (0.072, 0.500, 0.597).

The value obtained for the formation energy is 0.07 eV per atom.

---

Compound: LaTm2Mg
Source: the Alexandria database
Functional: GGA-PBE
Structure: optimized geometry

It has space group R-3m (No. 166, hexagonal axes), with a = 3.3997 Å, b = 3.3997 Å, c = 36.3236 Å, α = 90.00°, β = 90.00° and γ = 120.00°. The asymmetric unit holds La at (0.0000, 0.0000, 0.0000), Tm at (0.0000, 0.0000, 0.0933) and Mg at (0.0000, 0.0000, 0.5000).

The value obtained for the formation energy is 0.17 eV per atom. Its energy above the lowest structure with this stoichiometry is 187 meV/atom.

---

Compound: La3Tm2Mg2
Source: the Alexandria database
Functional: GGA-PBE
Structure: optimized geometry

It has space group Cmmm (No. 65), with a = 5.377 Å, b = 23.600 Å, c = 3.520 Å, α = 90.00°, β = 90.00° and γ = 90.00°. The asymmetric unit holds La at (0.000, 0.000, 0.000), La at (0.000, 0.151, 0.000), Tm at (0.000, 0.287, 0.500) and Mg at (0.000, 0.430, 0.500).

The value obtained for the formation energy is 0.03 eV per atom.

---

Compound: La5TmMg4
Source: the Alexandria database
Functional: GGA-PBE
Structure: optimized geometry

It has space group P4/mmm (No. 123), with a = 3.930 Å, b = 3.930 Å, c = 20.566 Å, α = 90.00°, β = 90.00° and γ = 90.00°. The asymmetric unit holds La at (0.000, 0.000, 0.000), La at (0.000, 0.000, 0.195), La at (0.000, 0.000, 0.389), Tm at (0.500, 0.500, 0.500), Mg at (0.500, 0.500, 0.097) and Mg at (0.500, 0.500, 0.293).

The value obtained for the formation energy is -0.08 eV per atom.

---

Compound: La2TmMg6
Source: the Alexandria database
Functional: GGA-PBE
Structure: optimized geometry

It has space group P6/mmm (No. 191), with a = 9.2174 Å, b = 9.2174 Å, c = 3.3615 Å, α = 90.00°, β = 90.00° and γ = 120.00°. The asymmetric unit holds La at (0.3333, 0.6667, 0.0000), Tm at (0.0000, 0.0000, 0.0000) and Mg at (0.0000, 0.3265, 0.5000).

The value obtained for the formation energy is -0.09 eV per atom.

---

Compound: LaTm2Mg5
Source: the Alexandria database
Functional: GGA-PBE
Structure: optimized geometry

It has space group I4/mmm (No. 139), with a = 5.303 Å, b = 5.303 Å, c = 15.127 Å, α = 90.00°, β = 90.00° and γ = 90.00°. The asymmetric unit holds La at (0.000, 0.000, 0.000), Tm at (0.000, 0.000, 0.258), Mg at (0.000, 0.000, 0.500) and Mg at (0.000, 0.500, 0.126).

The value obtained for the formation energy is -0.08 eV per atom.

---

Compound: LaTm6Mg2
Source: the Alexandria database
Functional: GGA-PBE
Structure: optimized geometry

It has space group P4/mmm (No. 123), with a = 4.872 Å, b = 4.872 Å, c = 11.885 Å, α = 90.00°, β = 90.00° and γ = 90.00°. The asymmetric unit holds La at (0.000, 0.000, 0.000), Tm at (0.000, 0.000, 0.500), Tm at (0.000, 0.500, 0.293), Tm at (0.500, 0.500, 0.500) and Mg at (0.500, 0.500, 0.117).

The value obtained for the formation energy is 0.12 eV per atom.

---

Compound: LaTmMg2
Source: the Alexandria database
Functional: GGA-PBE
Structure: optimized geometry

It has space group P4/mmm (No. 123), with a = 3.796 Å, b = 3.796 Å, c = 7.968 Å, α = 90.00°, β = 90.00° and γ = 90.00°. The asymmetric unit holds La at (0.000, 0.000, 0.000), Tm at (0.000, 0.000, 0.500) and Mg at (0.500, 0.500, 0.270).

The value obtained for the formation energy is -0.07 eV per atom. Its energy above the lowest structure with this stoichiometry is 16 meV/atom.

---

Compound: LaTm2Mg
Source: the Alexandria database
Functional: GGA-PBE
Structure: optimized geometry

It has space group Immm (No. 71), with a = 3.805 Å, b = 5.621 Å, c = 11.402 Å, α = 90.00°, β = 90.00° and γ = 90.00°. The asymmetric unit holds La at (0.000, 0.000, 0.000), Tm at (0.000, 0.500, 0.228) and Mg at (0.000, 0.000, 0.500).

The value obtained for the formation energy is -0.02 eV per atom. Its energy above the lowest structure with this stoichiometry is 0 meV/atom.

---

Compound: La9TmMg2
Source: the Alexandria database
Functional: GGA-PBE
Structure: optimized geometry

It has space group P4/mmm (No. 123), with a = 5.148 Å, b = 5.148 Å, c = 15.443 Å, α = 90.00°, β = 90.00° and γ = 90.00°. The asymmetric unit holds La at (0.000, 0.000, 0.000), La at (0.000, 0.000, 0.333), La at (0.000, 0.500, 0.168), La at (0.000, 0.500, 0.500), Tm at (0.500, 0.500, 0.000) and Mg at (0.500, 0.500, 0.336).

The value obtained for the formation energy is -0.01 eV per atom.

---

Compound: La4TmMg3
Source: the Alexandria database
Functional: GGA-PBE
Structure: optimized geometry

It has space group P4/mmm (No. 123), with a = 3.919 Å, b = 3.919 Å, c = 16.616 Å, α = 90.00°, β = 90.00° and γ = 90.00°. The asymmetric unit holds La at (0.000, 0.000, 0.120), La at (0.000, 0.000, 0.362), Tm at (0.500, 0.500, 0.500), Mg at (0.500, 0.500, 0.000) and Mg at (0.500, 0.500, 0.242).

The value obtained for the formation energy is -0.07 eV per atom.

---

Compound: La2TmMg5
Source: the Alexandria database
Functional: GGA-PBE
Structure: optimized geometry

It has space group I4/mmm (No. 139), with a = 5.230 Å, b = 5.230 Å, c = 16.218 Å, α = 90.00°, β = 90.00° and γ = 90.00°. The asymmetric unit holds La at (0.000, 0.000, 0.241), Tm at (0.000, 0.000, 0.500), Mg at (0.000, 0.000, 0.000) and Mg at (0.000, 0.500, 0.111).

The value obtained for the formation energy is -0.07 eV per atom.

---

no.,energy (eV/atom)
1,-4.1037
2,-3.6970
3,-3.8154
4,-3.6246
5,-2.7430
6,-2.8064
7,-3.7579
8,-3.2215
9,-3.8836
10,-4.3481
11,-3.6875
12,-2.8536